Record 1
Here is SnAuNO after structural relaxation from OQMD via LeMat-Bulk. Energies are from PBE.

The structure belongs to space group Pmc2_1 (No. 26); the cell edges are 3.4959, 7.0772 and 5.9357 Å and the angles 90.00°, 90.00° and 90.00°. Symmetry generates all atoms from Sn at (0.0000, 0.1490, 0.0000), Au at (0.5000, 0.4903, 0.3147), N at (0.5000, 0.2973, 0.0566) and O at (0.0000, 0.0875, 0.6748).

The value obtained for the density is 7.82 Mg/m³. The calculation puts the energy relative to the lowest polymorph listed for this composition at 0 meV/atom. Its uncorrected energy is -5.344 eV/atom.

Record 2
Here is SrAuNO after structural relaxation from OQMD via LeMat-Bulk. Energies are from PBE.

The structure belongs to space group Pca2_1 (No. 29); the cell edges are 6.8033, 6.9019 and 5.5788 Å and the angles 90.00°, 90.00° and 90.00°. Symmetry generates all atoms from Sr at (0.0888, 0.1849, 0.0000), Au at (0.1395, 0.6491, 0.0147), N at (0.1457, 0.4976, 0.6812) and O at (0.0638, 0.1295, 0.4382).

The value obtained for the density is 7.98 Mg/m³. The calculation puts the energy relative to the lowest polymorph listed for this composition at 29 meV/atom. Its uncorrected energy is -5.045 eV/atom.

Record 3
Here is SrAuNO after structural relaxation from OQMD via LeMat-Bulk. Energies are from PBE.

The structure belongs to space group P4/nmm (No. 129, origin choice 2); the cell edges are 5.1299, 5.1299 and 4.6262 Å and the angles 90.00°, 90.00° and 90.00°. Symmetry generates all atoms from Sr at (0.2500, 0.7500, 0.0000), Au at (0.2500, 0.2500, 0.4990), N at (0.2500, 0.2500, 0.0051) and O at (0.2500, 0.7500, 0.5000).

The value obtained for the density is 8.58 Mg/m³. The calculation puts the energy relative to the lowest polymorph listed for this composition at 416 meV/atom. Its uncorrected energy is -4.658 eV/atom.

Record 4
Here is SrAuNO after structural relaxation from OQMD via LeMat-Bulk. Energies are from PBE.

The structure belongs to space group Pmc2_1 (No. 26); the cell edges are 4.5840, 3.8827 and 6.9927 Å and the angles 90.00°, 90.00° and 90.00°. Symmetry generates all atoms from Sr at (0.0000, 0.0242, 0.0000), Au at (0.5000, 0.4987, 0.2546), N at (0.5000, 0.2536, 0.5051) and O at (0.0000, 0.4953, 0.2529).

The value obtained for the density is 8.39 Mg/m³. The calculation puts the energy relative to the lowest polymorph listed for this composition at 0 meV/atom. Its uncorrected energy is -5.074 eV/atom.

Record 5
Here is SrAuNO after structural relaxation from OQMD via LeMat-Bulk. Energies are from PBE.

The structure belongs to space group Pmc2_1 (No. 26); the cell edges are 3.7571, 5.8502 and 6.1810 Å and the angles 90.00°, 90.00° and 90.00°. Symmetry generates all atoms from Sr at (0.0000, 0.1465, 0.0000), Au at (0.5000, 0.3537, 0.5140), N at (0.0000, 0.3698, 0.5160) and O at (0.5000, 0.0085, 0.2531).

The value obtained for the density is 7.69 Mg/m³. The calculation puts the energy relative to the lowest polymorph listed for this composition at 31 meV/atom. Its uncorrected energy is -5.043 eV/atom.

Record 6
Here is SrAuNO after structural relaxation from OQMD via LeMat-Bulk. Energies are from PBE.

The structure belongs to space group P4/nmm (No. 129, origin choice 2); the cell edges are 4.3014, 4.3014 and 8.3533 Å and the angles 90.00°, 90.00° and 90.00°. Symmetry generates all atoms from Sr at (0.2500, 0.2500, 0.1258), Au at (0.2500, 0.7500, 0.5000), N at (0.2500, 0.2500, 0.4493) and O at (0.2500, 0.7500, 0.0000).

The value obtained for the density is 6.76 Mg/m³. The calculation puts the energy relative to the lowest polymorph listed for this composition at 69 meV/atom. Its uncorrected energy is -5.005 eV/atom.

Record 7
Here is SrAuNO after structural relaxation from OQMD via LeMat-Bulk. Energies are from PBE.

The structure belongs to space group Amm2 (No. 38); the cell edges are 4.6076, 7.2941 and 7.2939 Å and the angles 90.00°, 90.00° and 90.00°. Symmetry generates all atoms from Sr at (0.0000, 0.2500, 0.0000), Au at (0.5000, 0.0000, 0.2503), Au at (0.5000, 0.0000, 0.7500), N at (0.0000, 0.0000, 0.2498), N at (0.0000, 0.0000, 0.7500) and O at (0.5000, 0.2490, 0.4987).

The value obtained for the density is 8.52 Mg/m³. The calculation puts the energy relative to the lowest polymorph listed for this composition at 414 meV/atom. Its uncorrected energy is -4.660 eV/atom.

Record 8
Here is SrAuNO after structural relaxation from OQMD via LeMat-Bulk. Energies are from PBE.

The structure belongs to space group Pca2_1 (No. 29); the cell edges are 6.6131, 6.3211 and 5.7928 Å and the angles 90.00°, 90.00° and 90.00°. Symmetry generates all atoms from Sr at (0.0774, 0.1792, 0.0000), Au at (0.1079, 0.6693, 0.9745), N at (0.1099, 0.4737, 0.6783) and O at (0.2241, 0.8907, 0.2494).

The value obtained for the density is 8.63 Mg/m³. The calculation puts the energy relative to the lowest polymorph listed for this composition at 41 meV/atom. Its uncorrected energy is -5.034 eV/atom.

Record 9
Here is TbAuNO after structural relaxation from OQMD via LeMat-Bulk. Energies are from PBE.

The structure belongs to space group P4/nmm (No. 129, origin choice 2); the cell edges are 4.9450, 4.9450 and 4.5281 Å and the angles 90.00°, 90.00° and 90.00°. Symmetry generates all atoms from Tb at (0.2500, 0.7500, 0.0000), Au at (0.2500, 0.2500, 0.4977), N at (0.2500, 0.2500, 0.9974) and O at (0.2500, 0.7500, 0.5000).

The value obtained for the density is 11.57 Mg/m³. The calculation puts the total moment at 0.00 μB per formula unit. The calculation puts the energy relative to the lowest polymorph listed for this composition at 280 meV/atom. Its uncorrected energy is -6.212 eV/atom.

Record 10
Here is TbAuNO after structural relaxation from OQMD via LeMat-Bulk. Energies are from PBE.

The structure belongs to space group Pmc2_1 (No. 26); the cell edges are 4.0984, 7.3863 and 5.1384 Å and the angles 90.00°, 90.00° and 90.00°. Symmetry generates all atoms from Tb at (0.0000, 0.1590, 0.0000), Au at (0.5000, 0.4763, 0.6177), N at (0.5000, 0.2922, 0.8998) and O at (0.0000, 0.1178, 0.4149).

The value obtained for the density is 8.24 Mg/m³. The calculation puts the total moment at 0.40 μB per formula unit. The calculation puts the energy relative to the lowest polymorph listed for this composition at 181 meV/atom. Its uncorrected energy is -6.310 eV/atom.

Record 11
Here is TbAuNO after structural relaxation from OQMD via LeMat-Bulk. Energies are from PBE.

The structure belongs to space group P4/nmm (No. 129, origin choice 2); the cell edges are 3.9314, 3.9314 and 7.5417 Å and the angles 90.00°, 90.00° and 90.00°. Symmetry generates all atoms from Tb at (0.2500, 0.2500, 0.1449), Au at (0.2500, 0.7500, 0.5000), N at (0.2500, 0.2500, 0.6844) and O at (0.2500, 0.7500, 0.0000).

The value obtained for the density is 10.99 Mg/m³. The calculation puts the total moment at 1.02 μB per formula unit. The calculation puts the energy relative to the lowest polymorph listed for this composition at 292 meV/atom. Its uncorrected energy is -6.199 eV/atom.

Record 12
Here is TbAuNO after structural relaxation from OQMD via LeMat-Bulk. Energies are from PBE.

The structure belongs to space group Pmc2_1 (No. 26); the cell edges are 3.8215, 6.1614 and 5.6328 Å and the angles 90.00°, 90.00° and 90.00°. Symmetry generates all atoms from Tb at (0.0000, 0.2137, 0.0000), Au at (0.5000, 0.2368, 0.4946), N at (0.0000, 0.1470, 0.4007) and O at (0.5000, 0.3529, 0.8904).

The value obtained for the density is 9.66 Mg/m³. The calculation puts the total moment at 0.00 μB per formula unit. The calculation puts the energy relative to the lowest polymorph listed for this composition at 278 meV/atom. Its uncorrected energy is -6.214 eV/atom.

Record 13
Here is TbAuNO after structural relaxation from OQMD via LeMat-Bulk. Energies are from PBE.

The structure belongs to space group Pca2_1 (No. 29); the cell edges are 5.7313, 7.7180 and 5.5837 Å and the angles 90.00°, 90.00° and 90.00°. Symmetry generates all atoms from Tb at (0.0399, 0.1334, 0.0000), Au at (0.0677, 0.4698, 0.6476), N at (0.1451, 0.3336, 0.3145) and O at (0.2477, 0.9642, 0.2435).

The value obtained for the density is 10.38 Mg/m³. The calculation puts the total moment at 0.00 μB per formula unit. The calculation puts the energy relative to the lowest polymorph listed for this composition at 0 meV/atom. Its uncorrected energy is -6.492 eV/atom.

Record 14
Here is TbAuNO after structural relaxation from OQMD via LeMat-Bulk. Energies are from PBE.

The structure belongs to space group Pca2_1 (No. 29); the cell edges are 7.0155, 6.7979 and 4.9970 Å and the angles 90.00°, 90.00° and 90.00°. Symmetry generates all atoms from Tb at (0.0808, 0.1736, 0.0000), Au at (0.1438, 0.7029, 0.9922), N at (0.0940, 0.1191, 0.5096) and O at (0.0996, 0.5558, 0.4166).

The value obtained for the density is 10.76 Mg/m³. The calculation puts the total moment at 0.00 μB per formula unit. The calculation puts the energy relative to the lowest polymorph listed for this composition at 397 meV/atom. Its uncorrected energy is -6.094 eV/atom.

Record 15
Here is YAuNO after structural relaxation from OQMD via LeMat-Bulk. Energies are from PBE.

The structure belongs to space group Pmc2_1 (No. 26); the cell edges are 4.0778, 7.3718 and 5.1156 Å and the angles 90.00°, 90.00° and 90.00°. Symmetry generates all atoms from Y at (0.0000, 0.1571, 0.0000), Au at (0.5000, 0.4739, 0.6155), N at (0.5000, 0.2920, 0.9011) and O at (0.0000, 0.1195, 0.4163).

The value obtained for the density is 6.82 Mg/m³. The calculation puts the total moment at 0.41 μB per formula unit. The calculation puts the energy relative to the lowest polymorph listed for this composition at 180 meV/atom. Its uncorrected energy is -6.751 eV/atom.

Record 16
Here is YAuNO after structural relaxation from OQMD via LeMat-Bulk. Energies are from PBE.

The structure belongs to space group Pca2_1 (No. 29); the cell edges are 5.7191, 7.7008 and 5.5808 Å and the angles 90.00°, 90.00° and 90.00°. Symmetry generates all atoms from Y at (0.0397, 0.1323, 0.0000), Au at (0.0669, 0.4695, 0.6455), N at (0.1463, 0.3329, 0.3123) and O at (0.2480, 0.9626, 0.2438).

The value obtained for the density is 8.54 Mg/m³. The calculation puts the total moment at 0.00 μB per formula unit. The calculation puts the energy relative to the lowest polymorph listed for this composition at 0 meV/atom. Its uncorrected energy is -6.931 eV/atom.

Record 17
Here is YAuNO after structural relaxation from OQMD via LeMat-Bulk. Energies are from PBE.

The structure belongs to space group P4/nmm (No. 129, origin choice 2); the cell edges are 4.9269, 4.9269 and 4.5280 Å and the angles 90.00°, 90.00° and 90.00°. Symmetry generates all atoms from Y at (0.2500, 0.7500, 0.0000), Au at (0.2500, 0.2500, 0.4986), N at (0.2500, 0.2500, 0.9983) and O at (0.2500, 0.7500, 0.5000).

The value obtained for the density is 9.54 Mg/m³. The calculation puts the total moment at 0.00 μB per formula unit. The calculation puts the energy relative to the lowest polymorph listed for this composition at 264 meV/atom. Its uncorrected energy is -6.666 eV/atom.

Record 18
Here is YAuNO after structural relaxation from OQMD via LeMat-Bulk. Energies are from PBE.

The structure belongs to space group P4/nmm (No. 129, origin choice 2); the cell edges are 3.9393, 3.9393 and 7.5147 Å and the angles 90.00°, 90.00° and 90.00°. Symmetry generates all atoms from Y at (0.2500, 0.2500, 0.1435), Au at (0.2500, 0.7500, 0.5000), N at (0.2500, 0.2500, 0.6833) and O at (0.2500, 0.7500, 0.0000).

The value obtained for the density is 9.00 Mg/m³. The calculation puts the total moment at 1.03 μB per formula unit. The calculation puts the energy relative to the lowest polymorph listed for this composition at 300 meV/atom. Its uncorrected energy is -6.631 eV/atom.

Record 19
Here is YAuNO after structural relaxation from OQMD via LeMat-Bulk. Energies are from PBE.

The structure belongs to space group P4/mmm (No. 123); the cell edges are 3.3977, 3.3977 and 4.6164 Å and the angles 90.00°, 90.00° and 90.00°. Symmetry generates all atoms from Y at (0.0000, 0.0000, 0.0000), Au at (0.5000, 0.5000, 0.5000), N at (0.5000, 0.5000, 0.0000) and O at (0.0000, 0.0000, 0.5000).

The value obtained for the density is 9.84 Mg/m³. The calculation puts the total moment at 0.00 μB per formula unit. The calculation puts the energy relative to the lowest polymorph listed for this composition at 296 meV/atom. Its uncorrected energy is -6.634 eV/atom.

Record 20
Here is YAuNO after structural relaxation from OQMD via LeMat-Bulk. Energies are from PBE.

The structure belongs to space group Pmc2_1 (No. 26); the cell edges are 3.7850, 6.1299 and 5.7168 Å and the angles 90.00°, 90.00° and 90.00°. Symmetry generates all atoms from Y at (0.0000, 0.2154, 0.0000), Au at (0.5000, 0.2356, 0.4961), N at (0.0000, 0.1452, 0.3924) and O at (0.5000, 0.3537, 0.8859).

The value obtained for the density is 7.91 Mg/m³. The calculation puts the total moment at 0.00 μB per formula unit. The calculation puts the energy relative to the lowest polymorph listed for this composition at 270 meV/atom. Its uncorrected energy is -6.661 eV/atom.